# 1
Here is an optimized crystal structure of TiPd3Pt4 from Alexandria. Energies are from GGA-PBE.

Energy of formation (eV/atom): -0.466
Space group: No. 71
Calculated volume (Å³/atom): 15.39
DOS(E_F) (states/eV per atom): 1.20

Cell: 3.9403 3.9504 15.8194 Å, 90.00 90.00 90.00°
Sites, in units of the cell vectors:
Ti1 0.0000 0.0000 0.0000
Ti2 0.5000 0.5000 0.5000
Pd1 0.0000 0.0000 0.2522
Pd2 0.0000 0.0000 0.5000
Pd3 0.0000 0.0000 0.7478
Pd4 0.5000 0.5000 0.0000
Pd5 0.5000 0.5000 0.2478
Pd6 0.5000 0.5000 0.7522
Pt1 0.0000 0.5000 0.1207
Pt2 0.0000 0.5000 0.3796
Pt3 0.0000 0.5000 0.6204
Pt4 0.0000 0.5000 0.8793
Pt5 0.5000 0.0000 0.1204
Pt6 0.5000 0.0000 0.3793
Pt7 0.5000 0.0000 0.6207
Pt8 0.5000 0.0000 0.8796



# 2
Here is an optimized crystal structure of Ti6PdPt8 from Alexandria. Energies are from GGA-PBE.

Energy of formation (eV/atom): -0.716
Space group: No. 148
Calculated volume (Å³/atom): 17.09
DOS(E_F) (states/eV per atom): 0.66

Cell: 6.9976 6.9976 6.9976 Å, 62.60 62.60 62.60°
Sites, in units of the cell vectors:
Ti1 0.1119 0.3888 0.8293
Ti2 0.1707 0.8881 0.6112
Ti3 0.3888 0.8293 0.1119
Ti4 0.6112 0.1707 0.8881
Ti5 0.8293 0.1119 0.3888
Ti6 0.8881 0.6112 0.1707
Pd1 0.5000 0.5000 0.5000
Pt1 0.0620 0.6936 0.3885
Pt2 0.2101 0.2101 0.2101
Pt3 0.3064 0.6115 0.9380
Pt4 0.3885 0.0620 0.6936
Pt5 0.6115 0.9380 0.3064
Pt6 0.6936 0.3885 0.0620
Pt7 0.7899 0.7899 0.7899
Pt8 0.9380 0.3064 0.6115



# 3
Here is an optimized crystal structure of TiPd6Pt2 from Alexandria. Energies are from GGA-PBE.

Energy of formation (eV/atom): -0.286
Energy relative to the lowest polymorph listed for this composition (eV/f.u.): 0.00
Space group: No. 15
Calculated volume (Å³/atom): 15.61
DOS(E_F) (states/eV per atom): 0.94

Cell: 5.9511 5.9511 8.3711 Å, 97.43 97.43 104.20°
Sites, in units of the cell vectors:
Ti1 0.1264 0.8736 0.7500
Ti2 0.8736 0.1264 0.2500
Pd1 0.1178 0.8724 0.0838
Pd2 0.1276 0.8822 0.4162
Pd3 0.1983 0.4430 0.4606
Pd4 0.2123 0.4514 0.1367
Pd5 0.4430 0.1983 0.9606
Pd6 0.4514 0.2123 0.6367
Pd7 0.5486 0.7877 0.3633
Pd8 0.5570 0.8017 0.0394
Pd9 0.7877 0.5486 0.8633
Pd10 0.8017 0.5570 0.5394
Pd11 0.8724 0.1178 0.5838
Pd12 0.8822 0.1276 0.9162
Pt1 0.1977 0.4723 0.7996
Pt2 0.4723 0.1977 0.2996
Pt3 0.5277 0.8023 0.7004
Pt4 0.8023 0.5277 0.2004



Question: Which value of DOS(E_F) does entry 3 give?
Answer: 0.94 states/eV per atom



Copy entry 1 word for word.
Here is an optimized crystal structure of TiPd3Pt4 from Alexandria. Energies are from GGA-PBE.

Energy of formation (eV/atom): -0.466
Space group: No. 71
Calculated volume (Å³/atom): 15.39
DOS(E_F) (states/eV per atom): 1.20

Cell: 3.9403 3.9504 15.8194 Å, 90.00 90.00 90.00°
Sites, in units of the cell vectors:
Ti1 0.0000 0.0000 0.0000
Ti2 0.5000 0.5000 0.5000
Pd1 0.0000 0.0000 0.2522
Pd2 0.0000 0.0000 0.5000
Pd3 0.0000 0.0000 0.7478
Pd4 0.5000 0.5000 0.0000
Pd5 0.5000 0.5000 0.2478
Pd6 0.5000 0.5000 0.7522
Pt1 0.0000 0.5000 0.1207
Pt2 0.0000 0.5000 0.3796
Pt3 0.0000 0.5000 0.6204
Pt4 0.0000 0.5000 0.8793
Pt5 0.5000 0.0000 0.1204
Pt6 0.5000 0.0000 0.3793
Pt7 0.5000 0.0000 0.6207
Pt8 0.5000 0.0000 0.8796



Question: energy of formation of number 3 (TiPd6Pt2)?
Answer: -0.286 eV/atom



Question: Number 2 is which compound?
Answer: Ti6PdPt8